No. 1
The following is a GGA-PBE calculation of a geometry-optimized Er2Tm2Ga3 structure, from the Alexandria database.

abc: 3.5285 6.2213 7.9340
angles: 82.43 89.97 73.58
Closest atoms and distances in Å follow each position.
Fractional coordinates of all 7 atoms:
Er  0.1942  0.1128  0.1594  5 Ga 3.04-3.25, 1 Tm 3.38
Er  0.8058  0.8872  0.8406  5 Ga 3.04-3.25, 1 Tm 3.38
Tm  0.0651  0.3712  0.7089  4 Ga 2.97-3.09
Tm  0.9349  0.6288  0.2911  4 Ga 2.97-3.09
Ga  0.3387  0.8211  0.5369  2 Ga 2.77, 2 Tm 2.97, 2 Er 3.05-3.06
Ga  0.5000  0.5000  0.0000  4 Er 3.04, 4 Tm 3.09
Ga  0.6613  0.1789  0.4631  2 Ga 2.77, 2 Tm 2.97, 2 Er 3.05-3.06

Computed properties:
As for the volume: 23.6 Å³ per atom. The value obtained for the formation energy is -0.430 eV per atom. As for the total moment: 0.0 μB per cell. For the calculated total energy, the calculation gives -30.16 eV/cell.

***

No. 2
The following is a GGA-PBE calculation of a geometry-optimized LaPm2Ho4Th structure, from the Alexandria database.

abc: 5.1210 5.1343 9.9684
angles: 90.00 90.04 90.00
Closest atoms and distances in Å follow each position.
Fractional coordinates of all 8 atoms:
La  0.0000  0.0000  0.0000  8 Ho 3.62, 4 Pm 3.63
Pm  0.0000  0.0000  0.5000  8 Ho 3.53, 4 Th 3.63
Pm  0.5000  0.5000  0.0000  8 Ho 3.62, 4 La 3.63
Ho  0.0000  0.5000  0.2565  2 Th 3.53, 4 Pm 3.53-3.62, 2 La 3.62, 4 Ho 3.62-3.63
Ho  0.0000  0.5000  0.7435  2 Th 3.53, 4 Pm 3.53-3.62, 2 La 3.62, 4 Ho 3.62-3.63
Ho  0.4996  0.0000  0.2566  4 Pm 3.53-3.62, 2 Th 3.53, 2 La 3.62, 4 Ho 3.62-3.63
Ho  0.5004  0.0000  0.7434  4 Pm 3.53-3.62, 2 Th 3.53, 2 La 3.62, 4 Ho 3.62-3.63
Th  0.5000  0.5000  0.5000  8 Ho 3.53, 4 Pm 3.63

Computed properties:
As for the volume: 32.8 Å³ per atom. The value obtained for the formation energy is 0.032 eV per atom. As for the total moment: 0.0 μB per cell. For the calculated total energy, the calculation gives -39.90 eV/cell.

***

No. 3
The following is a GGA-PBE calculation of a geometry-optimized NaMg2Zn structure, from the Alexandria database.

abc: 11.0633 11.0633 11.0633
angles: 157.34 157.34 32.27
Closest atoms and distances in Å follow each position.
Fractional coordinates of all 8 atoms:
Na  0.0000  0.0000  0.0000  4 Zn 3.07, 4 Mg 3.10
Na  0.7500  0.2500  0.5000  4 Zn 3.07, 4 Mg 3.10
Mg  0.1420  0.6250  0.0170  4 Mg 2.97-3.18, 2 Zn 3.04, 2 Na 3.10
Mg  0.3750  0.3920  0.5170  4 Mg 2.97-3.18, 2 Zn 3.04, 2 Na 3.10
Mg  0.6080  0.1250  0.9830  4 Mg 2.97-3.18, 2 Zn 3.04, 2 Na 3.10
Mg  0.8750  0.8580  0.4830  4 Mg 2.97-3.18, 2 Zn 3.04, 2 Na 3.10
Zn  0.2500  0.7500  0.5000  4 Mg 3.04, 4 Na 3.07
Zn  0.5000  0.5000  0.0000  4 Mg 3.04, 4 Na 3.07

Computed properties:
As for the volume: 25.1 Å³ per atom. The value obtained for the formation energy is 0.231 eV per atom. As for the total moment: 0.0 μB per cell. For the calculated total energy, the calculation gives -9.72 eV/cell.

***

No. 4
The following is a GGA-PBE calculation of a geometry-optimized BaIn2O structure, from the Alexandria database.

abc: 7.0497 7.0497 7.0497
angles: 98.09 98.09 135.93
Closest atoms and distances in Å follow each position.
Fractional coordinates of all 8 atoms:
Ba  0.0000  0.0000  0.0000  2 O 2.64
Ba  0.7500  0.2500  0.5000  2 O 2.64
In  0.2139  0.1250  0.5889  2 O 2.83, 2 In 3.11
In  0.3750  0.7861  0.9111  2 O 2.83, 2 In 3.11
In  0.5361  0.6250  0.4111  2 O 2.83, 2 In 3.11
In  0.8750  0.4639  0.0889  2 O 2.83, 2 In 3.11
O  0.2500  0.7500  0.5000  2 Ba 2.64, 4 In 2.83
O  0.5000  0.5000  0.0000  2 Ba 2.64, 4 In 2.83

Computed properties:
As for the volume: 28.2 Å³ per atom. The value obtained for the formation energy without anion corrections is -0.66 eV per atom. As for the total moment: 0.0 μB per cell. For the calculated total energy, the calculation gives -29.99 eV/cell.

***

No. 5
The following is a GGA-PBE calculation of a geometry-optimized ZrIrRh2 structure, from the Alexandria database.

abc: 9.5957 9.5957 9.5957
angles: 156.62 156.62 33.30
Closest atoms and distances in Å follow each position.
Fractional coordinates of all 8 atoms:
Zr  0.0000  0.0000  0.0000  4 Rh 2.71, 4 Ir 2.75
Zr  0.7500  0.2500  0.5000  4 Rh 2.71, 4 Ir 2.75
Ir  0.2500  0.7500  0.5000  4 Rh 2.65, 4 Zr 2.75
Ir  0.5000  0.5000  0.0000  4 Rh 2.65, 4 Zr 2.75
Rh  0.1495  0.6250  0.0245  4 Rh 2.62-2.89, 2 Ir 2.65, 2 Zr 2.71
Rh  0.3750  0.3995  0.5245  4 Rh 2.62-2.89, 2 Ir 2.65, 2 Zr 2.71
Rh  0.6005  0.1250  0.9755  4 Rh 2.62-2.89, 2 Ir 2.65, 2 Zr 2.71
Rh  0.8750  0.8505  0.4755  4 Rh 2.62-2.89, 2 Ir 2.65, 2 Zr 2.71

Computed properties:
As for the volume: 17.4 Å³ per atom. The value obtained for the formation energy is -0.159 eV per atom. As for the total moment: 0.0 μB per cell. For the calculated total energy, the calculation gives -65.50 eV/cell.

***

No. 6
The following is a GGA-PBE calculation of a geometry-optimized LiTi2Se structure, from the Alexandria database.

abc: 5.7662 5.7662 5.7662
angles: 101.92 101.92 125.93
Closest atoms and distances in Å follow each position.
Fractional coordinates of all 8 atoms:
Li  0.0000  0.0000  0.0000  2 Se 2.62, 4 Ti 2.81
Li  0.7500  0.2500  0.5000  2 Se 2.62, 4 Ti 2.81
Ti  0.1559  0.6250  0.0309  2 Se 2.50, 2 Ti 2.66
Ti  0.3750  0.4059  0.5309  2 Se 2.50, 2 Ti 2.66
Ti  0.5941  0.1250  0.9691  2 Se 2.50, 2 Ti 2.66
Ti  0.8750  0.8441  0.4691  2 Se 2.50, 2 Ti 2.66
Se  0.2500  0.7500  0.5000  4 Ti 2.50, 2 Li 2.62
Se  0.5000  0.5000  0.0000  4 Ti 2.50, 2 Li 2.62

Computed properties:
As for the volume: 17.3 Å³ per atom. The value obtained for the formation energy without anion corrections is -0.12 eV per atom. As for the total moment: 0.0 μB per cell. For the calculated total energy, the calculation gives -43.35 eV/cell.

***

No. 7
The following is a GGA-PBE calculation of a geometry-optimized Sr2LaPt structure, from the Alexandria database.

abc: 6.4118 6.4118 6.4118
angles: 136.09 136.09 63.83
Closest atoms and distances in Å follow each position.
Fractional coordinates of all 4 atoms:
Sr  0.0000  0.0000  0.0000  4 Pt 3.39, 4 Sr 3.63, 4 La 3.63
Sr  0.7500  0.2500  0.5000  4 La 3.39, 4 Pt 3.63, 4 Sr 3.63
La  0.2500  0.7500  0.5000  8 Sr 3.39-3.63, 4 Pt 3.63
Pt  0.5000  0.5000  0.0000  8 Sr 3.39-3.63, 4 La 3.63

Computed properties:
As for the volume: 31.3 Å³ per atom. The value obtained for the formation energy is -0.045 eV per atom. As for the total moment: 0.0 μB per cell. For the calculated total energy, the calculation gives -14.51 eV/cell.

***

No. 8
The following is a GGA-PBE calculation of a geometry-optimized Y2MnPb structure, from the Alexandria database.

abc: 6.0459 6.0459 6.0459
angles: 136.71 136.71 62.89
Closest atoms and distances in Å follow each position.
Fractional coordinates of all 4 atoms:
Y  0.0000  0.0000  0.0000  4 Pb 3.15, 4 Mn 3.41, 4 Y 3.41
Y  0.7500  0.2500  0.5000  4 Mn 3.15, 4 Pb 3.41, 4 Y 3.41
Mn  0.2500  0.7500  0.5000  8 Y 3.15-3.41, 4 Pb 3.41
Pb  0.5000  0.5000  0.0000  8 Y 3.15-3.41, 4 Mn 3.41

Computed properties:
As for the volume: 25.7 Å³ per atom. The value obtained for the formation energy is -0.060 eV per atom. As for the total moment: 2.9 μB per cell. For the calculated total energy, the calculation gives -26.04 eV/cell.